# Nb2CuSi | the Open Quantum Materials Database | PBE | optimized geometry
# volume: 15.55 Å³/atom
# final energy: -0.262 hartree per atom
data_Nb2CuSi
_cell_length_a 4.447
_cell_length_b 4.447
_cell_length_c 4.447
_cell_angle_alpha 60.00
_cell_angle_beta 60.00
_cell_angle_gamma 60.00
_space_group_name_H-M_alt 'P 1'
_space_group_IT_number 1
loop_
_space_group_symop_operation_xyz
'x,y,z'
loop_
_atom_site_label
_atom_site_fract_x
_atom_site_fract_y
_atom_site_fract_z
Nb1 0.000 0.000 0.000
Nb2 0.250 0.250 0.250
Cu1 0.500 0.500 0.500
Si1 0.750 0.750 0.750

=====

# NbCu2Si | the Open Quantum Materials Database | PBE | optimized geometry
# volume: 13.77 Å³/atom
# final energy: -0.210 hartree per atom
data_NbCu2Si
_cell_length_a 4.271
_cell_length_b 4.271
_cell_length_c 4.271
_cell_angle_alpha 60.00
_cell_angle_beta 60.00
_cell_angle_gamma 60.00
_space_group_name_H-M_alt 'P 1'
_space_group_IT_number 1
loop_
_space_group_symop_operation_xyz
'x,y,z'
loop_
_atom_site_label
_atom_site_fract_x
_atom_site_fract_y
_atom_site_fract_z
Nb1 0.000 0.000 0.000
Cu1 0.250 0.250 0.250
Cu2 0.500 0.500 0.500
Si1 0.750 0.750 0.750

=====

# Nb5Cu4Si4 | the Open Quantum Materials Database | PBE | optimized geometry
# volume: 14.50 Å³/atom
# final energy: -0.264 hartree per atom
data_Nb5Cu4Si4
_cell_length_a 7.452
_cell_length_b 7.452
_cell_length_c 7.452
_cell_angle_alpha 93.36
_cell_angle_beta 93.36
_cell_angle_gamma 151.99
_space_group_name_H-M_alt 'P 1'
_space_group_IT_number 1
loop_
_space_group_symop_operation_xyz
'x,y,z'
loop_
_atom_site_label
_atom_site_fract_x
_atom_site_fract_y
_atom_site_fract_z
Nb1 0.000 0.000 0.000
Nb2 0.304 0.371 0.675
Nb3 0.371 0.696 0.067
Nb4 0.629 0.304 0.933
Nb5 0.696 0.629 0.325
Cu1 0.103 0.582 0.685
Cu2 0.418 0.103 0.522
Cu3 0.582 0.897 0.478
Cu4 0.897 0.418 0.315
Si1 0.060 0.252 0.312
Si2 0.252 0.940 0.193
Si3 0.748 0.060 0.807
Si4 0.940 0.748 0.688